# 1
BaTlBi2Pb: relaxed, PBE.

Geometry as CIF:
```
data_BaTlBi2Pb
_cell_length_a 17.833
_cell_length_b 5.480
_cell_length_c 9.690
_cell_angle_alpha 90.00
_cell_angle_beta 122.40
_cell_angle_gamma 90.00
_space_group_name_H-M_alt 'C 1 2/m 1'
_space_group_IT_number 12
loop_
_space_group_symop_operation_xyz
'x,y,z'
'-x,-y,-z'
'-x,y,-z'
'x,-y,z'
'x+1/2,y+1/2,z'
'-x+1/2,-y+1/2,-z'
'-x+1/2,y+1/2,-z'
'x+1/2,-y+1/2,z'
loop_
_atom_site_label
_atom_site_type_symbol
_atom_site_fract_x
_atom_site_fract_y
_atom_site_fract_z
Ba1 Ba 0.249 0.000 0.237
Tl1 Tl 0.073 0.000 0.738
Bi1 Bi 0.122 0.500 0.955
Bi2 Bi 0.137 0.000 0.474
Pb1 Pb 0.086 0.500 0.254
```

Values from the calculation:
DOS at the Fermi energy	7.1	states/eV per cell
E_form	-0.34	eV/atom
energy	-69.76	eV/cell


# 2
GeH2Pd4: relaxed, PBE.

Geometry as CIF:
```
data_GeH2Pd4
_cell_length_a 5.311
_cell_length_b 5.426
_cell_length_c 6.740
_cell_angle_alpha 105.82
_cell_angle_beta 103.05
_cell_angle_gamma 103.74
_space_group_name_H-M_alt 'P 1'
_space_group_IT_number 1
loop_
_space_group_symop_operation_xyz
'x,y,z'
loop_
_atom_site_label
_atom_site_type_symbol
_atom_site_fract_x
_atom_site_fract_y
_atom_site_fract_z
Ge1 Ge 0.000 0.000 0.000
Ge2 Ge 0.198 0.709 0.545
H1 H 0.563 0.840 0.242
H2 H 0.585 0.356 0.299
H3 H 0.600 0.484 0.913
H4 H 0.956 0.206 0.628
Pd1 Pd 0.293 0.198 0.767
Pd2 Pd 0.297 0.484 0.196
Pd3 Pd 0.357 0.052 0.338
Pd4 Pd 0.460 0.799 0.927
Pd5 Pd 0.722 0.887 0.615
Pd6 Pd 0.832 0.660 0.211
Pd7 Pd 0.870 0.492 0.784
Pd8 Pd 0.892 0.231 0.352
```

Values from the calculation:
DOS at the Fermi energy	4.6	states/eV per cell
energy	-67.06	eV/cell


# 3
MgZr2ScN: relaxed, PBE.

Geometry as CIF:
```
data_MgZr2ScN
_cell_length_a 4.543
_cell_length_b 4.543
_cell_length_c 4.490
_cell_angle_alpha 90.00
_cell_angle_beta 90.00
_cell_angle_gamma 90.00
_space_group_name_H-M_alt 'P 4/m m m'
_space_group_IT_number 123
_space_group_name_Hall '-P 4 2'
loop_
_atom_site_label
_atom_site_type_symbol
_atom_site_fract_x
_atom_site_fract_y
_atom_site_fract_z
Mg1 Mg 0.000 0.000 0.000
Zr1 Zr 0.000 0.500 0.500
Sc1 Sc 0.500 0.500 0.000
N1 N 0.500 0.500 0.500
```

Values from the calculation:
uncorrected formation energy	-3.77	eV per formula unit
DOS at the Fermi energy	3.1	states/eV per cell
energy	-37.12	eV/cell